(1)
Density functional theory data (PBE) for crystalline Mn2RuAu at its relaxed geometry.

Summary:
Space-group type ... No. 166
Magnetic moment ... 6.76 μB/f.u.
Calculated volume ... 60.2 Å³/f.u.
Formation energy from the elements ... 0.85 eV per formula unit

```
4
Lattice="1.4236 0.8219 8.5747 -1.4236 0.8219 8.5747 0.0000 -1.6438 8.5747" Properties=species:S:1:pos:R:3 pbc="T T T"
Mn 0.0000 0.0000 6.3088
Mn 0.0000 0.0000 19.4152
Ru 0.0000 0.0000 12.8620
Au 0.0000 0.0000 0.0000
```



(2)
Density functional theory data (PBE) for crystalline RbBaHg12 at its relaxed geometry.

Summary:
Space-group type ... No. 123
Magnetic moment ... 0.00 μB/f.u.
Calculated volume ... 713.8 Å³/f.u.
Formation energy from the elements ... 1.98 eV per formula unit

```
14
Lattice="6.9960 0.0000 0.0000 0.0000 6.9960 0.0000 0.0000 0.0000 14.5844" Properties=species:S:1:pos:R:3 pbc="T T T"
Rb 0.0000 0.0000 0.0000
Ba 0.0000 0.0000 7.2922
Hg 1.3740 3.4980 3.7068
Hg 1.3740 3.4980 10.8776
Hg 3.4980 1.3740 3.7068
Hg 3.4980 1.3740 10.8776
Hg 3.4980 3.4980 1.4094
Hg 3.4980 3.4980 5.9248
Hg 3.4980 3.4980 8.6595
Hg 3.4980 3.4980 13.1750
Hg 3.4980 5.6219 3.7068
Hg 3.4980 5.6219 10.8776
Hg 5.6219 3.4980 3.7068
Hg 5.6219 3.4980 10.8776
```



(3)
Density functional theory data (PBE) for crystalline Ac2LaPmSe5 at its relaxed geometry.

Summary:
Space-group type ... No. 36
Calculated total energy ... -5.752 eV/atom
Magnetic moment ... 0.00 μB/f.u.
Calculated volume ... 269.7 Å³/f.u.

```
18
Lattice="2.1819 -9.0550 0.0000 2.1819 9.0550 0.0000 0.0000 0.0000 13.6525" Properties=species:S:1:pos:R:3 pbc="T T T"
Ac 2.1819 7.1281 6.8263
Ac 2.1819 6.4487 1.4757
Ac 2.1819 -6.4487 8.3020
Ac 2.1819 -7.1281 0.0000
La 2.1819 0.5722 3.6676
La 2.1819 -0.5722 10.4938
Pm 2.1819 5.2705 11.1690
Pm 2.1819 -5.2705 4.3427
Se 2.1819 7.9047 12.2907
Se 2.1819 4.0493 6.4355
Se 2.1819 3.3421 2.2953
Se 2.1819 2.3528 11.0478
Se 2.1819 0.2209 7.7882
Se 2.1819 -0.2209 0.9619
Se 2.1819 -2.3528 4.2216
Se 2.1819 -3.3421 9.1215
Se 2.1819 -4.0493 13.2617
Se 2.1819 -7.9047 5.4644
```



- What is the magnetic moment in the second record?
  0.00 μB/f.u.



- Among the records above, which one has the lowest calculated volume?
  Mn2RuAu